Record 1
Material: MgI2O6
Method: DFT, PBE
State: optimized geometry

Unit cell a=5.4498 b=5.6664 c=17.7652 alpha=90.00 beta=90.00 gamma=90.00
Last column: nearest neighbours and their distance in Å.
Element x y z (fractional)
O 0.8741 0.1126 0.8805  1 I 1.85
O 0.3891 0.9765 0.8323  1 I 1.88
O 0.8891 0.5235 0.1677  1 I 1.88
O 0.2670 0.3513 0.4463  1 I 1.86, 1 Mg 2.09
O 0.0288 0.0402 0.1595  1 I 1.86
O 0.6109 0.4765 0.6677  1 I 1.88
O 0.5288 0.4598 0.8405  1 I 1.86
O 0.7330 0.8513 0.0537  1 I 1.86, 1 Mg 2.09
O 0.0212 0.4534 0.7950  1 I 1.85
O 0.9788 0.9534 0.7050  1 I 1.85
O 0.7670 0.1487 0.5537  1 I 1.86, 1 Mg 2.09
O 0.6203 0.6045 0.5251  1 I 1.83
O 0.4788 0.5466 0.2950  1 I 1.85
O 0.1203 0.8955 0.4749  1 I 1.83
O 0.9712 0.5402 0.3405  1 I 1.86
O 0.1259 0.6126 0.6195  1 I 1.85
O 0.5212 0.0466 0.2050  1 I 1.85
O 0.3797 0.1045 0.9749  1 I 1.83
O 0.1109 0.0235 0.3323  1 I 1.88
O 0.2330 0.6487 0.9463  1 I 1.86, 1 Mg 2.09
O 0.8797 0.3955 0.0251  1 I 1.83
O 0.4712 0.9598 0.6595  1 I 1.86
O 0.3741 0.3874 0.1195  1 I 1.85
O 0.6259 0.8874 0.3805  1 I 1.85
Mg 0.7915 0.8195 0.6058  5 O 2.09-2.18
Mg 0.7085 0.1805 0.1058  5 O 2.09-2.18
Mg 0.2915 0.6805 0.3942  5 O 2.09-2.18
Mg 0.2085 0.3195 0.8942  5 O 2.09-2.18
I 0.7508 0.2569 0.7948  3 O 1.85-1.86
I 0.2508 0.2431 0.2052  3 O 1.85-1.86
I 0.9960 0.6530 0.0762  3 O 1.83-1.88
I 0.2492 0.7569 0.7052  3 O 1.85-1.86
I 0.7492 0.7431 0.2948  3 O 1.85-1.86
I 0.4960 0.8470 0.9238  3 O 1.83-1.88
I 0.5040 0.3470 0.5762  3 O 1.83-1.88
I 0.0040 0.1530 0.4238  3 O 1.83-1.88

Results
uncorrected formation energy: -885 meV/atom

***

Record 2
Material: PrH8Pd4Pt
Method: DFT, PBE
State: optimized geometry

Unit cell a=5.8140 b=5.8140 c=5.8530 alpha=60.22 beta=60.22 gamma=60.00
Last column: nearest neighbours and their distance in Å.
Element x y z (fractional)
H 0.2158 0.2158 0.3527  3 Pd 1.85
H 0.2085 0.8541 0.7290  1 Pt 1.79, 2 Pd 1.87
H 0.8541 0.2085 0.7290  1 Pt 1.79, 2 Pd 1.87
H 0.7604 0.7604 0.7187  4 Pd 1.94-1.95
H 0.2085 0.2085 0.7290  1 Pt 1.79, 2 Pd 1.87
H 0.7666 0.2237 0.2430  1 Pt 1.90, 3 Pd 1.91-2.01
H 0.7666 0.7666 0.2430  1 Pt 1.90, 3 Pd 1.91-2.01
H 0.2237 0.7666 0.2430  1 Pt 1.90, 3 Pd 1.91-2.01
Pd 0.9971 0.9971 0.4996  6 H 1.85-2.01
Pd 0.9971 0.5062 0.4996  6 H 1.85-2.01
Pd 0.5062 0.9971 0.4996  6 H 1.85-2.01
Pd 0.6255 0.6255 0.1235  4 H 1.91-1.94
Pt 0.9969 0.9969 0.0092  6 H 1.79-1.90
Pr 0.3730 0.3730 0.8810  4 H 2.26-2.29

Results
E: -4.357 eV per atom

***

Record 3
Material: NdCd3Au4
Method: DFT, PBE
State: optimized geometry

Unit cell a=4.8431 b=4.8431 c=8.8709 alpha=74.16 beta=74.16 gamma=60.00
Last column: nearest neighbours and their distance in Å.
Element x y z (fractional)
Nd 0.0000 0.0000 0.0000  8 Au 3.10-3.19
Au 0.1262 0.1262 0.6213  7 Cd 2.98-3.07, 1 Nd 3.19
Au 0.8738 0.8738 0.3787  7 Cd 2.98-3.07, 1 Nd 3.19
Au 0.3868 0.3868 0.8397  4 Cd 2.86-2.91, 3 Nd 3.10
Au 0.6132 0.6132 0.1603  4 Cd 2.86-2.91, 3 Nd 3.10
Cd 0.2480 0.2480 0.2561  7 Au 2.91-3.07
Cd 0.7520 0.7520 0.7439  7 Au 2.91-3.07
Cd 0.5000 0.5000 0.5000  8 Au 2.86-2.98

Results
E_form: -0.391 eV per atom

***

Record 4
Material: PmCd2Au
Method: DFT, PBE
State: optimized geometry

Unit cell a=4.5538 b=5.6365 c=8.1022 alpha=90.00 beta=90.00 gamma=113.76
Last column: nearest neighbours and their distance in Å.
Element x y z (fractional)
Cd 0.6347 0.2699 0.4443  3 Au 2.86-2.93, 2 Cd 2.93-3.15
Cd 0.6347 0.2699 0.0557  3 Au 2.86-2.93, 2 Cd 2.93-3.15
Cd 0.3653 0.7301 0.9443  3 Au 2.86-2.93, 2 Cd 2.93-3.15
Cd 0.3653 0.7301 0.5557  3 Au 2.86-2.93, 2 Cd 2.93-3.15
Pm 0.9305 0.8611 0.2500  3 Au 3.05-3.10
Pm 0.0695 0.1389 0.7500  3 Au 3.05-3.10
Au 0.2262 0.4527 0.2500  6 Cd 2.86-2.93, 3 Pm 3.05-3.10
Au 0.7738 0.5473 0.7500  6 Cd 2.86-2.93, 3 Pm 3.05-3.10

Results
E_form: -0.488 eV per atom
offset from the most stable computed form: 0 meV per atom

***

Record 5
Material: Y2TiCr
Method: DFT, PBE
State: optimized geometry

Unit cell a=7.9840 b=7.9840 c=6.4377 alpha=51.68 beta=51.68 gamma=90.00
Last column: nearest neighbours and their distance in Å.
Element x y z (fractional)
Ti 0.2500 0.7500 0.5000  4 Y 3.07, 2 Cr 3.09
Ti 0.5000 0.5000 0.0000  4 Y 3.07, 2 Cr 3.09
Y 0.6505 0.1250 0.2500  2 Cr 2.79, 2 Ti 3.07, 2 Y 3.12
Y 0.8750 0.9005 0.7500  2 Cr 2.79, 2 Ti 3.07, 2 Y 3.12
Y 0.3750 0.3495 0.7500  2 Cr 2.79, 2 Ti 3.07, 2 Y 3.12
Y 0.0995 0.6250 0.2500  2 Cr 2.79, 2 Ti 3.07, 2 Y 3.12
Cr 0.7500 0.2500 0.5000  4 Y 2.79, 2 Ti 3.09
Cr 0.0000 0.0000 0.0000  4 Y 2.79, 2 Ti 3.09

Results
E_form: 0.747 eV per atom
offset from the most stable computed form: 120 meV per atom

***

Record 6
Material: Ba2LaPrO4
Method: DFT, PBE
State: optimized geometry

Unit cell a=3.7492 b=6.4774 c=6.6755 alpha=108.89 beta=90.00 gamma=90.00
Last column: nearest neighbours and their distance in Å.
Element x y z (fractional)
Pr 0.0000 0.0000 0.0000  6 O 2.50
La 0.5000 0.5000 0.0000  6 O 2.50-2.51
O 0.0000 0.2656 0.8001  1 Pr 2.50, 2 La 2.51
O 0.5000 0.2329 0.1998  2 Pr 2.50, 1 La 2.50
O 0.0000 0.7344 0.1999  1 Pr 2.50, 2 La 2.51
O 0.5000 0.7671 0.8002  2 Pr 2.50, 1 La 2.50
Ba 0.0000 0.5000 0.5000  6 O 2.88
Ba 0.5000 0.0000 0.5000  6 O 2.87

Results
uncorrected formation energy: -2664 meV/atom

***

Record 7
Material: ZrTc2P
Method: DFT, PBE
State: optimized geometry

Unit cell a=2.9482 b=2.9482 c=7.2041 alpha=90.00 beta=90.00 gamma=90.00
Last column: nearest neighbours and their distance in Å.
Element x y z (fractional)
Zr 0.0000 0.0000 0.5192  4 P 2.88, 4 Zr 2.95, 4 Tc 3.02
P 0.5000 0.5000 0.7942  4 Tc 2.44
Tc 0.5000 0.5000 0.2161  8 Tc 2.73-2.95, 4 Zr 3.02, 1 P 3.04
Tc 0.0000 0.0000 0.9704  4 P 2.44

Results
E_form: -0.319 eV per atom

***

Record 8
Material: BaAl3Sn
Method: DFT, PBE
State: optimized geometry

Unit cell a=5.4425 b=5.4425 c=5.4425 alpha=90.00 beta=90.00 gamma=90.00
Last column: nearest neighbours and their distance in Å.
Element x y z (fractional)
Sn 0.0000 0.0000 0.0000  6 Al 2.72
Al 0.5000 0.0000 0.0000  2 Sn 2.72
Al 0.0000 0.5000 0.0000  2 Sn 2.72
Al 0.0000 0.0000 0.5000  2 Sn 2.72
Ba 0.5000 0.5000 0.5000  12 Al 3.85

Results
E_form: 0.369 eV per atom
offset from the most stable computed form: 0 meV per atom

***

Record 9
Material: CrRuPb2
Method: DFT, PBE
State: optimized geometry

Unit cell a=4.8159 b=4.8159 c=4.8159 alpha=60.00 beta=60.00 gamma=60.00
Last column: nearest neighbours and their distance in Å.
Element x y z (fractional)
Ru 0.5000 0.5000 0.5000  8 Pb 2.95
Pb 0.2500 0.2500 0.2500  4 Cr 2.95, 4 Ru 2.95
Pb 0.7500 0.7500 0.7500  4 Ru 2.95, 4 Cr 2.95
Cr 0.0000 0.0000 0.0000  8 Pb 2.95

Results
E_form: 0.563 eV per atom
offset from the most stable computed form: 235 meV per atom

***

Record 10
Material: Hg3BiAs
Method: DFT, PBE
State: optimized geometry

Unit cell a=5.3436 b=5.3436 c=5.3436 alpha=90.00 beta=90.00 gamma=90.00
Last column: nearest neighbours and their distance in Å.
Element x y z (fractional)
Hg 0.0000 0.5000 0.0000  2 As 2.67
Hg 0.5000 0.0000 0.0000  2 As 2.67
Hg 0.0000 0.0000 0.5000  2 As 2.67
As 0.0000 0.0000 0.0000  6 Hg 2.67
Bi 0.5000 0.5000 0.5000  12 Hg 3.78

Results
E_form: 0.371 eV per atom
offset from the most stable computed form: 0 meV per atom

***

Record 11
Material: Nd3TlTe6
Method: DFT, PBE
State: optimized geometry

Unit cell a=7.5589 b=9.8876 c=9.8876 alpha=102.29 beta=90.00 gamma=90.00
Last column: nearest neighbours and their distance in Å.
Element x y z (fractional)
Te 0.2265 0.0959 0.5510  1 Tl 2.93, 2 Nd 3.23-3.24
Te 0.1293 0.7744 0.2256  1 Tl 2.89, 2 Nd 3.21
Te 0.1844 0.0312 0.9688  1 Tl 2.99, 2 Nd 3.34
Te 0.1783 0.3753 0.2961  4 Nd 3.14-3.22
Te 0.7265 0.5510 0.0959  1 Tl 2.93, 2 Nd 3.23-3.24
Te 0.1783 0.7039 0.6247  4 Nd 3.14-3.22
Te 0.7265 0.9041 0.4490  1 Tl 2.93, 2 Nd 3.23-3.24
Te 0.6783 0.2961 0.3753  4 Nd 3.14-3.22
Te 0.6783 0.6247 0.7039  4 Nd 3.14-3.22
Te 0.6293 0.2256 0.7744  1 Tl 2.89, 2 Nd 3.21
Te 0.2265 0.4490 0.9041  1 Tl 2.93, 2 Nd 3.23-3.24
Te 0.6844 0.9688 0.0312  1 Tl 2.99, 2 Nd 3.34
Nd 0.9889 0.0872 0.2780  7 Te 3.14-3.38
Nd 0.8756 0.5904 0.4096  7 Te 3.16-3.42
Nd 0.9889 0.7220 0.9128  7 Te 3.14-3.38
Nd 0.4889 0.2780 0.0872  7 Te 3.14-3.38
Nd 0.4889 0.9128 0.7220  7 Te 3.14-3.38
Nd 0.3756 0.4096 0.5904  7 Te 3.16-3.42
Tl 0.0087 0.2053 0.7947  4 Te 2.89-2.99
Tl 0.5087 0.7947 0.2053  4 Te 2.89-2.99

Results
uncorrected formation energy: -1084 meV/atom

***

Record 12
Material: BeAlTe2
Method: DFT, PBE
State: optimized geometry

Unit cell a=3.2060 b=3.2060 c=9.6222 alpha=90.00 beta=90.00 gamma=107.48
Last column: nearest neighbours and their distance in Å.
Element x y z (fractional)
Te 0.0000 0.0000 0.9022  2 Be 2.51
Te 0.5000 0.5000 0.3095  2 Al 3.05, 4 Te 3.21
Be 0.5000 0.5000 0.7305  2 Te 2.51, 2 Al 2.52
Al 0.0000 0.0000 0.5577  2 Be 2.52

Results
uncorrected formation energy: 288 meV/atom
offset from the most stable computed form: 378 meV per atom

***

no.,theoretical density (kg/m3)
1,4529
2,9106
3,12326
4,9890
5,4676
6,6695
7,8438
8,3471
9,11931
10,9639
11,6452
12,5126